1.
Material: Dy2YEr2Mg
Method: DFT, GGA-PBE
State: optimized geometry

Cell and atoms, written as POSCAR:
```
Dy2YEr2Mg
1.0
-0.978 -3.480 0.229
11.166 -3.024 1.762
-1.303 1.026 10.016
Er Y Mg Dy
4 2 2 4
Cartesian
6.066 -1.474 3.524 Er
3.797 -0.524 8.254 Er
-0.003 -1.704 2.735 Er
8.889 -3.774 9.272 Er
5.094 -3.252 0.996 Y
-0.651 0.513 5.008 Y
0.000 0.000 0.000 Mg
4.443 -2.739 6.004 Mg
7.660 -3.676 5.514 Dy
2.963 -0.737 1.465 Dy
6.901 -1.261 10.313 Dy
1.225 -1.802 6.493 Dy
```

Calculated values
total DFT energy (no corrections)	-3.908	eV/atom
volume	430.3	Å³ per cell
magnetic moment	0.000	μB/f.u.
SG	Pnnm
density	5.964	g/cm3


2.
Material: Dy6Y3Er2Mg
Method: DFT, GGA-PBE
State: optimized geometry

Cell and atoms, written as POSCAR:
```
Dy6Y3Er2Mg
1.0
6.118 -0.002 -0.003
-3.059 5.298 -0.003
-1.024 -1.774 11.450
Er Y Dy Mg
2 3 6 1
Cartesian
0.004 3.528 -0.003 Er
3.054 1.767 -0.003 Er
-2.049 3.531 5.722 Y
4.082 -0.010 5.722 Y
1.017 1.761 5.722 Y
-0.002 3.529 8.623 Dy
3.058 1.762 8.623 Dy
-1.024 1.760 2.821 Dy
2.033 3.519 2.831 Dy
0.001 0.002 8.614 Dy
2.036 -0.008 2.821 Dy
0.000 0.000 0.000 Mg
```

Calculated values
total DFT energy (no corrections)	-4.778	eV/atom
volume	370.9	Å³ per cell
magnetic moment	0.000	μB/f.u.
SG	C2/m
density	7.165	g/cm3


3.
Material: Dy2Y6Er3Mg
Method: DFT, GGA-PBE
State: optimized geometry

Cell and atoms, written as POSCAR:
```
Dy2Y6Er3Mg
1.0
-4.001 4.395 1.458
-0.325 -5.466 2.732
8.535 4.067 6.853
Y Dy Er Mg
6 2 3 1
Cartesian
3.769 0.610 8.506 Y
5.318 2.782 6.189 Y
1.661 -0.892 2.960 Y
-1.110 0.213 4.854 Y
0.440 2.386 2.537 Y
2.547 3.888 8.083 Y
-2.775 1.105 1.883 Dy
-1.552 -2.176 2.307 Dy
2.104 1.498 5.521 Er
3.333 -1.798 5.947 Er
0.876 4.794 5.096 Er
0.000 0.000 0.000 Mg
```

Calculated values
total DFT energy (no corrections)	-5.239	eV/atom
volume	372.7	Å³ per cell
magnetic moment	0.000	μB/f.u.
SG	C2/m
density	6.169	g/cm3


4.
Material: Dy6Y2Er3Mg
Method: DFT, GGA-PBE
State: optimized geometry

Cell and atoms, written as POSCAR:
```
Dy6Y2Er3Mg
1.0
-4.309 4.083 -1.377
0.176 -2.493 5.558
8.255 7.916 2.167
Dy Er Mg Y
6 3 1 2
Cartesian
2.338 8.222 3.612 Dy
-1.023 3.183 3.679 Dy
3.830 6.035 5.919 Dy
1.784 1.283 2.736 Dy
0.292 3.471 0.430 Dy
5.145 6.323 2.669 Dy
3.558 2.558 5.489 Er
2.061 4.753 3.174 Er
0.563 6.948 0.859 Er
0.000 0.000 0.000 Mg
-2.812 1.888 0.938 Y
-1.321 -0.298 3.243 Y
```

Calculated values
total DFT energy (no corrections)	-4.624	eV/atom
volume	368.4	Å³ per cell
magnetic moment	0.002	μB/f.u.
SG	C2/m
density	7.567	g/cm3


5.
Material: Dy2Y4ErMg
Method: DFT, GGA-PBE
State: optimized geometry

Cell and atoms, written as POSCAR:
```
Dy2Y4ErMg
1.0
4.970 0.000 0.000
0.000 4.869 1.037
0.000 2.800 10.793
Y Dy Mg Er
4 2 1 1
Cartesian
2.485 4.353 3.457 Y
0.000 1.920 2.940 Y
4.970 5.749 8.891 Y
2.485 3.316 8.374 Y
0.000 2.800 10.793 Dy
2.485 6.269 6.434 Dy
2.485 5.234 11.311 Mg
4.970 3.834 5.916 Er
```

Calculated values
total DFT energy (no corrections)	-5.128	eV/atom
volume	246.8	Å³ per cell
magnetic moment	0.000	μB/f.u.
SG	P2/m
density	5.869	g/cm3


6.
Material: Dy3Y2Er6Mg
Method: DFT, GGA-PBE
State: optimized geometry

Cell and atoms, written as POSCAR:
```
Dy3Y2Er6Mg
1.0
6.075 -0.002 0.000
-3.038 5.261 0.000
-1.021 -1.768 11.450
Dy Er Y Mg
3 6 2 1
Cartesian
1.008 1.745 5.725 Dy
-2.036 3.503 5.725 Dy
4.052 -0.012 5.725 Dy
2.016 -0.009 2.853 Er
3.031 1.750 8.597 Er
2.021 3.498 2.865 Er
0.001 3.500 8.597 Er
-0.004 -0.008 8.586 Er
-1.015 1.741 2.853 Er
3.034 1.754 0.000 Y
0.003 3.505 0.000 Y
0.000 0.000 0.000 Mg
```

Calculated values
total DFT energy (no corrections)	-4.611	eV/atom
volume	365.9	Å³ per cell
magnetic moment	0.005	μB/f.u.
SG	C2/m
density	7.684	g/cm3


7.
Material: DyYErMg
Method: DFT, GGA-PBE
State: optimized geometry

Cell and atoms, written as POSCAR:
```
DyYErMg
1.0
-1.697 -2.848 -4.375
0.372 -5.477 -0.022
-4.546 -3.061 0.313
Y Er Dy Mg
1 1 1 1
Cartesian
-4.404 -8.540 -3.063 Y
-2.936 -5.693 -2.042 Er
-1.468 -2.847 -1.021 Dy
0.000 0.000 0.000 Mg
```

Calculated values
total DFT energy (no corrections)	-4.263	eV/atom
volume	117.0	Å³ per cell
relative energy among the computed polymorphs	71	meV/atom
magnetic moment	0.001	μB/f.u.
SG	F-43m
density	6.289	g/cm3


8.
Material: DyErMn4
Method: DFT, GGA-PBE
State: optimized geometry

Cell and atoms, written as POSCAR:
```
DyErMn4
1.0
-4.692 -0.205 1.726
0.860 -0.110 -4.928
0.481 -8.670 0.277
Er Mn Dy
2 8 2
Cartesian
-2.810 -0.741 -0.474 Er
-0.541 -8.243 -2.452 Er
-1.080 -6.606 -0.042 Mn
0.241 -4.335 0.138 Mn
-3.392 -6.708 0.809 Mn
-2.968 -6.762 -1.619 Mn
0.040 -2.277 -3.735 Mn
-2.272 -2.378 -2.884 Mn
-0.383 -2.223 -1.306 Mn
0.000 0.000 0.000 Mn
-0.718 -5.053 -2.554 Dy
-2.633 -3.932 -0.372 Dy
```

Calculated values
total DFT energy (no corrections)	-7.547	eV/atom
volume	188.4	Å³ per cell
relative energy among the computed polymorphs	0	meV/atom
magnetic moment	1.982	μB/f.u.
SG	P-3m1
density	9.686	g/cm3


9.
Material: DyErMn2
Method: DFT, GGA-PBE
State: optimized geometry

Cell and atoms, written as POSCAR:
```
DyErMn2
1.0
-1.482 2.435 -2.067
-2.491 -2.307 -0.932
-3.989 2.135 5.375
Dy Mn Er
1 2 1
Cartesian
-3.981 1.131 1.188 Dy
-3.011 1.611 4.057 Mn
-0.979 0.524 1.319 Mn
-1.986 0.064 -1.499 Er
```

Calculated values
total DFT energy (no corrections)	-6.683	eV/atom
volume	87.1	Å³ per cell
relative energy among the computed polymorphs	11	meV/atom
magnetic moment	6.653	μB/f.u.
SG	P4/mmm
density	8.384	g/cm3


10.
Material: DyErMn
Method: DFT, GGA-PBE
State: optimized geometry

Cell and atoms, written as POSCAR:
```
DyErMn
1.0
-0.137 -2.882 1.910
3.085 0.761 1.370
-4.315 4.259 2.983
Dy Mn Er
1 1 1
Cartesian
-1.726 1.944 2.809 Dy
0.532 0.000 3.172 Mn
-0.173 0.195 0.281 Er
```

Calculated values
total DFT energy (no corrections)	-5.974	eV/atom
volume	75.4	Å³ per cell
relative energy among the computed polymorphs	0	meV/atom
magnetic moment	2.655	μB/f.u.
SG	I4mm
density	8.470	g/cm3


11.
Material: DyErMn17
Method: DFT, GGA-PBE
State: optimized geometry

Cell and atoms, written as POSCAR:
```
DyErMn17
1.0
-2.397 2.271 5.378
-2.799 -5.445 1.534
4.864 -1.993 3.492
Mn Er Dy
17 1 1
Cartesian
-0.033 -0.516 1.039 Mn
-1.367 -0.655 6.503 Mn
-0.299 -4.652 9.368 Mn
-2.507 0.145 4.320 Mn
-0.688 -4.493 2.075 Mn
2.863 -0.819 4.013 Mn
-0.397 1.095 4.859 Mn
-1.198 1.133 2.691 Mn
-2.744 -2.289 4.881 Mn
-1.576 -4.674 4.500 Mn
2.752 -2.944 2.954 Mn
-1.399 -2.722 0.770 Mn
1.242 -0.494 5.900 Mn
1.033 -4.507 3.900 Mn
2.431 -0.998 1.748 Mn
2.416 -2.876 5.521 Mn
-2.687 -3.319 2.594 Mn
-0.118 -1.832 3.689 Er
-0.214 -3.330 6.707 Dy
```

Calculated values
total DFT energy (no corrections)	-8.692	eV/atom
volume	249.8	Å³ per cell
magnetic moment	4.205	μB/f.u.
SG	R3m
density	8.399	g/cm3


12.
Material: DyErMn4
Method: DFT, GGA-PBE
State: optimized geometry

Cell and atoms, written as POSCAR:
```
DyErMn4
1.0
0.000 3.597 3.597
3.597 0.000 3.597
3.597 3.597 0.000
Mn Dy Er
4 1 1
Cartesian
4.496 2.697 4.496 Mn
2.697 4.496 4.496 Mn
2.697 2.697 2.697 Mn
4.496 4.496 2.697 Mn
5.395 5.395 5.395 Dy
0.000 0.000 0.000 Er
```

Calculated values
total DFT energy (no corrections)	-7.520	eV/atom
volume	93.1	Å³ per cell
relative energy among the computed polymorphs	27	meV/atom
magnetic moment	1.076	μB/f.u.
SG	F-43m
density	9.806	g/cm3


13.
Material: Dy2ErMn
Method: DFT, GGA-PBE
State: optimized geometry

Cell and atoms, written as POSCAR:
```
Dy2ErMn
1.0
-0.589 0.016 -3.328
2.560 -0.394 -2.171
-0.876 -11.277 -1.615
Mn Er Dy
1 1 2
Cartesian
0.000 0.000 0.000 Mn
0.547 -5.828 -3.557 Er
1.594 -3.121 -5.445 Dy
-0.499 -8.535 -1.668 Dy
```

Calculated values
total DFT energy (no corrections)	-5.225	eV/atom
volume	111.3	Å³ per cell
relative energy among the computed polymorphs	382	meV/atom
magnetic moment	3.141	μB/f.u.
SG	R-3m
density	8.161	g/cm3


14.
Material: DyEr3Mn
Method: DFT, GGA-PBE
State: optimized geometry

Cell and atoms, written as POSCAR:
```
DyEr3Mn
1.0
5.247 0.000 0.000
0.000 5.247 0.000
0.000 0.000 5.247
Er Dy Mn
3 1 1
Cartesian
0.000 0.000 2.623 Er
2.623 0.000 0.000 Er
0.000 2.623 0.000 Er
2.623 2.623 2.623 Dy
0.000 0.000 0.000 Mn
```

Calculated values
total DFT energy (no corrections)	-5.264	eV/atom
volume	144.4	Å³ per cell
magnetic moment	0.457	μB/f.u.
SG	Pm-3m
density	8.268	g/cm3


15.
Material: Dy2ErMn
Method: DFT, GGA-PBE
State: optimized geometry

Cell and atoms, written as POSCAR:
```
Dy2ErMn
1.0
-3.355 0.042 -1.092
-1.073 -0.785 3.268
-0.495 8.355 1.845
Mn Dy Er
1 2 1
Cartesian
-2.214 -0.371 1.088 Mn
-0.101 1.698 0.375 Dy
-0.394 6.657 1.470 Dy
-2.462 3.806 2.011 Er
```

Calculated values
total DFT energy (no corrections)	-5.607	eV/atom
volume	106.7	Å³ per cell
relative energy among the computed polymorphs	0	meV/atom
magnetic moment	3.731	μB/f.u.
SG	P4/mmm
density	8.517	g/cm3


16.
Material: DyErMn2
Method: DFT, GGA-PBE
State: optimized geometry

Cell and atoms, written as POSCAR:
```
DyErMn2
1.0
-1.950 -0.149 2.989
2.628 -3.870 1.521
3.175 3.029 2.223
Mn Er Dy
2 1 1
Cartesian
1.588 1.515 1.111 Mn
1.314 -1.935 0.760 Mn
-0.975 -0.075 1.494 Er
1.927 -0.495 3.366 Dy
```

Calculated values
total DFT energy (no corrections)	-6.689	eV/atom
volume	86.4	Å³ per cell
relative energy among the computed polymorphs	5	meV/atom
magnetic moment	6.506	μB/f.u.
SG	P4/mmm
density	8.446	g/cm3


17.
Material: DyErMn
Method: DFT, GGA-PBE
State: optimized geometry

Cell and atoms, written as POSCAR:
```
DyErMn
1.0
-0.560 3.235 -0.862
0.605 -2.829 -4.324
-8.919 -0.744 3.006
Dy Er Mn
2 2 2
Cartesian
-5.599 0.743 -0.254 Dy
-3.275 -1.081 -1.926 Dy
-1.821 1.423 -0.161 Er
-7.053 -1.760 -2.020 Er
-8.610 0.215 -0.278 Mn
-0.264 -0.553 -1.903 Mn
```

Calculated values
total DFT energy (no corrections)	-5.771	eV/atom
volume	147.6	Å³ per cell
relative energy among the computed polymorphs	203	meV/atom
magnetic moment	0.000	μB/f.u.
SG	C2/m
density	8.656	g/cm3


18.
Material: DyErMn2
Method: DFT, GGA-PBE
State: optimized geometry

Cell and atoms, written as POSCAR:
```
DyErMn2
1.0
4.950 0.000 0.000
2.475 4.287 0.000
2.475 1.429 4.042
Er Mn Dy
1 2 1
Cartesian
4.950 2.858 2.021 Er
7.426 4.287 3.031 Mn
2.475 1.429 1.010 Mn
0.000 0.000 0.000 Dy
```

Calculated values
total DFT energy (no corrections)	-6.694	eV/atom
volume	85.8	Å³ per cell
relative energy among the computed polymorphs	0	meV/atom
magnetic moment	6.373	μB/f.u.
SG	Fm-3m
density	8.510	g/cm3


19.
Material: DyEr2MnN4
Method: DFT, GGA-PBE
State: optimized geometry

Cell and atoms, written as POSCAR:
```
DyEr2MnN4
1.0
-2.771 1.763 0.573
-0.613 -5.062 2.908
4.873 4.677 9.169
N Dy Mn Er
8 2 2 4
Cartesian
2.436 2.339 4.584 N
0.727 -0.508 5.077 N
0.761 1.886 7.573 N
-0.422 -1.611 2.914 N
1.911 2.990 9.736 N
-0.451 1.458 3.032 N
1.939 -0.080 9.618 N
0.000 0.000 0.000 N
3.179 2.513 7.637 Dy
-1.690 -1.135 5.014 Dy
0.621 -0.081 3.247 Mn
0.868 1.459 9.403 Mn
0.312 1.914 5.316 Er
3.190 1.397 11.123 Er
1.177 -0.536 7.334 Er
-1.701 -0.018 1.527 Er
```

Calculated values
total DFT energy (no corrections)	-8.253	eV/atom
formation energy (no corrections)	-1.228	eV per atom
volume	213.7	Å³ per cell
magnetic moment	0.000	μB/f.u.
SG	Cmcm
density	9.450	g/cm3


20.
Material: DyErMnOs
Method: DFT, GGA-PBE
State: optimized geometry

Cell and atoms, written as POSCAR:
```
DyErMnOs
1.0
4.881 0.000 0.000
2.441 4.227 0.000
2.441 1.409 3.985
Er Dy Os Mn
1 1 1 1
Cartesian
0.000 0.000 0.000 Er
4.881 2.818 1.993 Dy
7.322 4.227 2.989 Os
2.441 1.409 0.996 Mn
```

Calculated values
total DFT energy (no corrections)	-7.418	eV/atom
volume	82.2	Å³ per cell
magnetic moment	3.642	μB/f.u.
SG	F-43m
density	11.609	g/cm3


21.
Material: DyErMnRh
Method: DFT, GGA-PBE
State: optimized geometry

Cell and atoms, written as POSCAR:
```
DyErMnRh
1.0
4.888 0.000 0.000
2.444 4.233 0.000
2.444 1.411 3.991
Dy Rh Mn Er
1 1 1 1
Cartesian
2.444 1.411 0.998 Dy
4.888 2.822 1.996 Rh
0.000 0.000 0.000 Mn
7.332 4.233 2.993 Er
```

Calculated values
total DFT energy (no corrections)	-6.714	eV/atom
volume	82.6	Å³ per cell
magnetic moment	3.112	μB/f.u.
SG	F-43m
density	9.803	g/cm3


22.
Material: DyErMnZn
Method: DFT, GGA-PBE
State: optimized geometry

Cell and atoms, written as POSCAR:
```
DyErMnZn
1.0
-0.218 -4.978 -0.036
2.997 -2.603 -3.012
3.745 -2.671 1.914
Dy Er Mn Zn
1 1 1 1
Cartesian
4.893 -7.690 -0.850 Dy
1.631 -2.563 -0.283 Er
0.000 0.000 0.000 Mn
3.262 -5.126 -0.567 Zn
```

Calculated values
total DFT energy (no corrections)	-4.954	eV/atom
volume	87.5	Å³ per cell
magnetic moment	2.835	μB/f.u.
SG	F-43m
density	8.544	g/cm3


23.
Material: DyErMo4
Method: DFT, GGA-PBE
State: optimized geometry

Cell and atoms, written as POSCAR:
```
DyErMo4
1.0
-1.743 -0.986 -5.133
3.641 -0.412 -4.114
0.965 -4.891 -2.345
Mo Er Dy
4 1 1
Cartesian
1.307 -1.486 -6.072 Mo
-0.031 -3.725 -5.188 Mo
1.790 -3.931 -7.245 Mo
2.661 -3.438 -4.679 Mo
0.000 0.000 0.000 Er
0.716 -1.572 -2.898 Dy
```

Calculated values
total DFT energy (no corrections)	-8.670	eV/atom
volume	118.3	Å³ per cell
magnetic moment	0.000	μB/f.u.
SG	F-43m
density	10.019	g/cm3